Material: Lu3HgC
Method: DFT, PBE
State: relaxed

a = 4.771 Å, b = 4.771 Å, c = 4.771 Å
α = 90.00°, β = 90.00°, γ = 90.00°
Space group Pm-3m (No. 221)
One atom of each set of equivalent atoms:
Lu1 0.000 0.000 0.500 (multiplicity 3)
Hg1 0.500 0.500 0.500 (multiplicity 1)
C1 0.000 0.000 0.000 (multiplicity 1)

Output
DFT formation energy: -2.2 eV per formula unit
Calculated total energy: -5.065 eV per atom
Calculated volume: 21.72 Å³ per atom
Mass density: 11.28 g/cm3